K2NaHgAu (PBE-GGA, relaxed); symmetry = P4/mmm (123); relative energy among the computed polymorphs = 97.6 meV/atom; energy of formation from the pure elements = -0.56 eV/f.u.; density of states at the Fermi level = 4.34 states/eV/f.u.; final energy = -7.657 eV/f.u.; V = 225.1 Å³ per cell
1.0
6.314 0.000 0.000
0.000 6.314 0.000
0.000 0.000 5.647
K Na Au Hg
2 1 1 1
direct
0.500 0.000 0.000
0.000 0.500 0.000
0.000 0.000 0.500
0.000 0.000 0.000
0.500 0.500 0.500